Entry 1:
A plane-wave DFT calculation with PBE was carried out for an optimized crystal structure of Co2Ge.

It has space group P4_2/mnm (No. 136), with a = 4.984 Å, b = 4.984 Å, c = 3.702 Å, α = 90.00°, β = 90.00° and γ = 90.00°. The distinct sites, in fractional coordinates, are Co at (0.185, 0.185, 0.000) and Ge at (0.000, 0.000, 0.500).

The value obtained for the total magnetic moment is 3.075 μB/cell.



Entry 2:
A plane-wave DFT calculation with PBE was carried out for an optimized crystal structure of RbPmGe.

It has space group F-43m (No. 216), with a = 7.587 Å, b = 7.587 Å, c = 7.587 Å, α = 90.00°, β = 90.00° and γ = 90.00°. The distinct sites, in fractional coordinates, are Rb at (0.000, 0.000, 0.000), Pm at (0.000, 0.000, 0.500) and Ge at (0.250, 0.250, 0.750).

The value obtained for the total magnetic moment is 0.000 μB/cell.



no.,VASP energy (eV/atom)
1,-5.606
2,-3.347